This record from Alexandria via LeMat-Bulk describes an optimized crystal structure of AcY2TmSe6. The functional is GGA-PBE.

a b c (Å): 7.3610 7.3610 19.5319
angles (deg): 90.00 90.00 120.00
Space group R3 (No. 146, hexagonal axes)
One atom of each set of equivalent atoms:
Ac (0.0000, 0.0000, 0.0000)
Y (0.0000, 0.0000, 0.2870)
Y (0.0000, 0.0000, 0.7950)
Tm (0.0000, 0.0000, 0.4857)
Se (0.0216, 0.3544, 0.5532)
Se (0.0243, 0.6242, 0.0543)

***

This record from Alexandria via LeMat-Bulk describes an optimized crystal structure of AcY2TmSe4. The functional is GGA-PBE.

a b c (Å): 7.122 4.088 7.447
angles (deg): 90.00 108.44 90.00
Space group P2/m (No. 10)
One atom of each set of equivalent atoms:
Ac (0.000, 0.000, 0.000)
Y (0.500, 0.000, 0.500)
Y (0.500, 0.500, 0.000)
Tm (0.000, 0.500, 0.500)
Se (0.252, 0.000, 0.734)
Se (0.265, 0.500, 0.272)

***

no.,total magnetization (Bohr magnetons per cell),final energy (eV/cell),E_form (uncorrected) (eV per atom)
1,0.00,-183.6,-1.8770
2,0.00,-49.2,-1.7249